Zr12Tl3Rh PBE relaxed; magnetic moment = 0.0000 μB per atom; energy relative to the elements = -12.7 kJ per mole of atoms
1.0
4.534 0.000 0.000
0.000 4.534 0.000
0.000 0.000 17.154
Zr Tl Rh
12 3 1
direct
0.000 0.000 0.000 Zr
0.000 0.000 0.240 Zr
0.000 0.000 0.500 Zr
0.000 0.000 0.760 Zr
0.000 0.500 0.110 Zr
0.000 0.500 0.372 Zr
0.000 0.500 0.628 Zr
0.000 0.500 0.890 Zr
0.500 0.000 0.110 Zr
0.500 0.000 0.372 Zr
0.500 0.000 0.628 Zr
0.500 0.000 0.890 Zr
0.500 0.500 0.242 Tl
0.500 0.500 0.500 Tl
0.500 0.500 0.758 Tl
0.500 0.500 0.000 Rh

=====

CuAgGe2O6 PBE relaxed; magnetic moment = 0.0067 μB per atom; formation energy (no corrections) = -1.0077 eV/atom
1.0
5.480 -4.725 0.000
5.480 4.725 0.000
-2.314 0.000 5.279
Cu Ag Ge O
2 2 4 12
direct
0.250 0.750 0.750 Cu
0.750 0.250 0.250 Cu
0.103 0.897 0.250 Ag
0.897 0.103 0.750 Ag
0.203 0.382 0.292 Ge
0.382 0.203 0.792 Ge
0.618 0.797 0.208 Ge
0.797 0.618 0.708 Ge
0.008 0.222 0.150 O
0.128 0.627 0.409 O
0.222 0.008 0.650 O
0.321 0.375 0.059 O
0.373 0.872 0.091 O
0.375 0.321 0.559 O
0.625 0.679 0.441 O
0.627 0.128 0.909 O
0.679 0.625 0.941 O
0.778 0.992 0.350 O
0.872 0.373 0.591 O
0.992 0.778 0.850 O

=====

Tl2CdHg2 PBE relaxed; magnetic moment = 0.0000 μB per atom; offset from the most stable computed form = 0.0 meV per atom; energy relative to the elements = 1.0 kJ per mole of atoms
1.0
7.522 -2.511 0.000
7.522 2.511 0.000
-2.129 0.000 7.532
Tl Cd Hg
4 2 4
direct
0.029 0.029 0.263 Tl
0.238 0.238 0.641 Tl
0.762 0.762 0.359 Tl
0.971 0.971 0.737 Tl
0.208 0.208 0.075 Cd
0.792 0.792 0.925 Cd
0.397 0.397 0.416 Hg
0.405 0.405 0.016 Hg
0.595 0.595 0.984 Hg
0.603 0.603 0.584 Hg

=====

NaSr6Si2 PBE relaxed; magnetic moment = 0.0001 μB per atom; formation energy (no corrections) = -0.1954 eV/atom
1.0
-5.513 5.561 5.797
5.513 -5.561 5.797
5.513 5.561 -5.797
Na Sr Si
2 12 4
direct
0.000 0.000 0.000 Na
0.500 0.500 0.000 Na
0.129 0.818 0.311 Sr
0.208 0.318 0.526 Sr
0.208 0.682 0.890 Sr
0.270 0.049 0.780 Sr
0.270 0.490 0.220 Sr
0.493 0.182 0.311 Sr
0.507 0.818 0.689 Sr
0.730 0.510 0.780 Sr
0.730 0.951 0.220 Sr
0.792 0.318 0.110 Sr
0.792 0.682 0.474 Sr
0.871 0.182 0.689 Sr
0.106 0.606 0.500 Si
0.500 0.116 0.616 Si
0.500 0.884 0.384 Si
0.894 0.394 0.500 Si

=====

YSe PBE relaxed; magnetic moment = 0.0001 μB per atom; formation energy (no corrections) = -1.5950 eV/atom
1.0
10.760 0.000 0.000
0.000 3.763 0.000
-2.574 0.000 7.075
Y Se
6 6
direct
0.000 0.000 0.000 Y
0.121 0.000 0.615 Y
0.291 0.500 0.337 Y
0.500 0.500 0.000 Y
0.621 0.500 0.615 Y
0.791 0.000 0.337 Y
0.005 0.500 0.296 Se
0.205 0.500 0.940 Se
0.394 0.000 0.664 Se
0.505 0.000 0.296 Se
0.705 0.000 0.940 Se
0.894 0.500 0.664 Se

=====

AcTbPrHo PBE relaxed; magnetic moment = 0.0002 μB per atom; offset from the most stable computed form = 61.5 meV per atom; energy relative to the elements = 10.8 kJ per mole of atoms
1.0
8.318 0.000 0.000
0.000 8.318 0.000
0.000 0.000 8.318
Ac Tb Pr Ho
4 4 4 4
direct
0.000 0.000 0.000 Ac
0.000 0.500 0.500 Ac
0.500 0.000 0.500 Ac
0.500 0.500 0.000 Ac
0.250 0.250 0.250 Tb
0.250 0.750 0.750 Tb
0.750 0.250 0.750 Tb
0.750 0.750 0.250 Tb
0.000 0.000 0.500 Pr
0.000 0.500 0.000 Pr
0.500 0.000 0.000 Pr
0.500 0.500 0.500 Pr
0.250 0.250 0.750 Ho
0.250 0.750 0.250 Ho
0.750 0.250 0.250 Ho
0.750 0.750 0.750 Ho

=====

no.,electronic total energy (eV/atom)
1,-7.4458
2,-5.6009
3,-1.2397
4,-2.6683
5,-6.5693
6,-4.4124